First-principles (SCAN) data for Hf3MgCl at its PBEsol-relaxed geometry, as listed in Alexandria via LeMat-Bulk.

Computed properties:
Calculated total energy ... -40.089 eV per atom
E_form (uncorrected) ... 0.105 eV per atom
DOS(E_F) ... 0.500 states/eV per atom
Magnetic moment ... 0.000 μB per cell

Cell and atoms, written as CIF:
```
data_Hf3MgCl
_chemical_formula_sum 'Hf3 Mg1 Cl1'
_cell_length_a 4.7168
_cell_length_b 4.7168
_cell_length_c 4.7168
_cell_angle_alpha 90.00
_cell_angle_beta 90.00
_cell_angle_gamma 90.00
_space_group_name_H-M_alt 'P m -3 m'
_space_group_IT_number 221
_space_group_name_Hall '-P 4 2 3'
loop_
_atom_site_label
_atom_site_type_symbol
_atom_site_fract_x
_atom_site_fract_y
_atom_site_fract_z
_atom_site_occupancy
Hf1 Hf 0.0000 0.0000 0.5000 1
Mg1 Mg 0.5000 0.5000 0.5000 1
Cl1 Cl 0.0000 0.0000 0.0000 1
```


First-principles (SCAN) data for CuMoCO2 at its PBEsol-relaxed geometry, as listed in Alexandria via LeMat-Bulk.

Computed properties:
Calculated total energy ... -13.454 eV per atom
E_form (uncorrected) ... 1.076 eV per atom
DOS(E_F) ... 0.333 states/eV per atom
Magnetic moment ... 3.069 μB per cell

Cell and atoms, written as CIF:
```
data_CuMoCO2
_chemical_formula_sum 'Cu1 Mo1 C1 O2'
_cell_length_a 3.7964
_cell_length_b 3.7964
_cell_length_c 3.5616
_cell_angle_alpha 90.00
_cell_angle_beta 90.00
_cell_angle_gamma 90.00
_space_group_name_H-M_alt 'P 4/m m m'
_space_group_IT_number 123
_space_group_name_Hall '-P 4 2'
loop_
_atom_site_label
_atom_site_type_symbol
_atom_site_fract_x
_atom_site_fract_y
_atom_site_fract_z
_atom_site_occupancy
Cu1 Cu 0.0000 0.0000 0.0000 1
Mo1 Mo 0.5000 0.5000 0.0000 1
C1 C 0.0000 0.0000 0.5000 1
O1 O 0.0000 0.5000 0.5000 1
```